Entry 1
A plane-wave DFT calculation with GGA-PBE was carried out for a geometry-optimized CaMo2Os structure.

Geometry as POSCAR:
```
CaMo2Os
1.0
-8.800 -2.563 4.105
-7.087 -4.049 5.852
-7.638 -1.292 6.392
Mo Os Ca
2 1 1
Direct
0.990 0.990 0.990
0.510 0.510 0.510
0.250 0.250 0.250
0.750 0.750 0.750
```

Computed properties:
Its space group is No. 166.

---

Entry 2
A plane-wave DFT calculation with GGA-PBE was carried out for a geometry-optimized CaMo2Os structure.

Geometry as POSCAR:
```
CaMo2Os
1.0
-3.551 -0.326 -6.758
0.743 -7.605 -0.023
-3.881 -4.212 -2.077
Mo Os Ca
4 2 2
Direct
0.690 0.125 0.250
0.060 0.625 0.250
0.375 0.310 0.750
0.875 0.940 0.750
0.000 0.000 0.000
0.750 0.250 0.500
0.500 0.500 0.000
0.250 0.750 0.500
```

Computed properties:
Its space group is No. 122.

---

Entry 3
A plane-wave DFT calculation with GGA-PBE was carried out for a geometry-optimized CaMo2Os structure.

Geometry as POSCAR:
```
CaMo2Os
1.0
5.543 -0.002 0.001
2.687 4.848 -0.001
-3.566 -3.355 2.598
Mo Os Ca
2 1 1
Direct
0.980 0.980 0.000
0.520 0.520 0.000
0.750 0.250 0.500
0.250 0.750 0.500
```

Computed properties:
Its space group is No. 71.

---

Entry 4
A plane-wave DFT calculation with GGA-PBE was carried out for a geometry-optimized CaMo2Os structure.

Geometry as POSCAR:
```
CaMo2Os
1.0
-3.119 0.374 -0.512
-0.628 -2.180 2.232
-0.203 5.264 5.084
Mo Os Ca
2 1 1
Direct
0.000 0.000 0.054
0.500 0.500 0.255
0.000 0.000 0.449
0.500 0.500 0.741
```

Computed properties:
Its space group is No. 99.

---

Tell me which of them is the most stable. Sure, it is entry 4.

---

Entry 1
A plane-wave DFT calculation with GGA-PBE was carried out for a geometry-optimized Ca3MoOs structure.

Geometry as POSCAR:
```
Ca3MoOs
1.0
5.262 0.000 0.000
0.000 5.262 0.000
0.000 0.000 5.262
Mo Os Ca
1 1 3
Direct
0.000 0.000 0.000
0.500 0.500 0.500
0.000 0.500 0.000
0.000 0.000 0.500
0.500 0.000 0.000
```

Computed properties:
Its space group is No. 221.

---

Entry 2
A plane-wave DFT calculation with GGA-PBE was carried out for a geometry-optimized Ca3MoOs structure.

Geometry as POSCAR:
```
Ca3MoOs
1.0
5.470 0.000 0.000
0.000 5.470 0.000
0.000 0.000 5.470
Mo Os Ca
1 1 3
Direct
0.500 0.500 0.500
0.000 0.000 0.000
0.000 0.500 0.000
0.000 0.000 0.500
0.500 0.000 0.000
```

Computed properties:
Its space group is No. 221.

---

Tell me which of them is the most stable. Sure, it is entry 2.

---

Entry 1
A plane-wave DFT calculation with GGA-PBE was carried out for a geometry-optimized CaMoP2 structure.

Geometry as POSCAR:
```
CaMoP2
1.0
-0.679 4.423 0.937
-2.419 1.211 3.686
2.095 1.927 3.577
Ca Mo P
1 1 2
Direct
0.500 0.500 0.500
0.750 0.750 0.750
0.000 0.000 0.000
0.250 0.250 0.250
```

Computed properties:
Its space group is No. 216.

---

Entry 2
A plane-wave DFT calculation with GGA-PBE was carried out for a geometry-optimized CaMoP2 structure.

Geometry as POSCAR:
```
CaMoP2
1.0
-6.070 -2.283 -2.846
-3.957 -5.846 -0.567
3.799 4.763 3.611
Ca Mo P
1 1 2
Direct
0.451 0.451 0.000
0.203 0.703 0.500
0.070 0.070 0.000
0.775 0.275 0.500
```

Computed properties:
Its space group is No. 44.

---

Tell me which of them is the most stable. Sure, it is entry 2.

---

Entry 1
A plane-wave DFT calculation with GGA-PBE was carried out for a geometry-optimized CaMoP2 structure.

Geometry as POSCAR:
```
CaMoP2
1.0
5.016 -0.022 -0.041
0.786 4.954 0.041
-2.006 -3.519 2.959
Ca Mo P
1 1 2
Direct
0.750 0.250 0.500
0.250 0.750 0.500
0.029 0.029 0.000
0.471 0.471 0.000
```

Computed properties:
Its space group is No. 71.

---

Entry 2
A plane-wave DFT calculation with GGA-PBE was carried out for a geometry-optimized CaMoP2 structure.

Geometry as POSCAR:
```
CaMoP2
1.0
-3.500 -0.199 -0.093
-1.772 -1.076 2.829
-0.430 6.523 2.212
Ca Mo P
1 1 2
Direct
0.542 0.542 0.500
0.208 0.208 0.000
0.875 0.875 0.209
0.875 0.875 0.791
```

Computed properties:
Its space group is No. 187.

---

Tell me which of them is the most stable. Sure, it is entry 2.

---

Entry 1
A plane-wave DFT calculation with GGA-PBE was carried out for a geometry-optimized CaMo3P structure.

Geometry as POSCAR:
```
CaMo3P
1.0
-2.892 -1.176 3.427
1.928 -4.212 0.182
3.067 1.538 3.117
P Mo Ca
1 3 1
Direct
0.500 0.500 0.500
0.000 0.500 0.000
0.000 0.000 0.500
0.500 0.000 0.000
0.000 0.000 0.000
```

Computed properties:
Its space group is No. 221.

---

Entry 2
A plane-wave DFT calculation with GGA-PBE was carried out for a geometry-optimized CaMo3P structure.

Geometry as POSCAR:
```
CaMo3P
1.0
-2.934 2.838 -2.095
-3.527 -2.319 1.799
0.054 2.761 3.664
P Mo Ca
1 3 1
Direct
0.000 0.000 0.000
0.000 0.500 0.000
0.000 0.000 0.500
0.500 0.000 0.000
0.500 0.500 0.500
```

Computed properties:
Its space group is No. 221.

---

Tell me which of them is the most stable. Sure, it is entry 2.

---

Entry 1
A plane-wave DFT calculation with GGA-PBE was carried out for a geometry-optimized CaMoPS2 structure.

Geometry as POSCAR:
```
CaMoPS2
1.0
-2.679 4.168 1.124
-4.083 -2.016 -2.254
-1.418 -2.115 4.462
S P Mo Ca
2 1 1 1
Direct
0.000 0.500 0.000
0.500 0.000 0.000
0.000 0.000 0.500
0.500 0.500 0.500
0.000 0.000 0.000
```

Computed properties:
Its space group is No. 123.

---

Entry 2
A plane-wave DFT calculation with GGA-PBE was carried out for a geometry-optimized CaMoPS2 structure.

Geometry as POSCAR:
```
CaMoPS2
1.0
4.756 0.000 0.000
0.000 4.756 0.000
0.000 0.000 4.728
S P Mo Ca
2 1 1 1
Direct
0.000 0.500 0.000
0.500 0.000 0.000
0.000 0.000 0.500
0.000 0.000 0.000
0.500 0.500 0.500
```

Computed properties:
Its space group is No. 123.

---

Tell me which of them is the most stable. Sure, it is entry 2.